## TcNiI6 (PBE)

Data for crystalline TcNiI6 at its relaxed geometry.

ΔE_f (raw) = -67.7 meV per atom
D(E_F) = 0.7 states/eV/cell
Uncorrected energy = -3.25 eV/atom

Geometry as POSCAR:
```
TcNiI6
1.0
7.592 -0.929 -0.795
-3.186 6.953 -0.795
0.836 1.144 6.432
I Tc Ni
6 1 1
direct
0.286 0.002 0.250
0.002 0.286 0.250
0.998 0.714 0.750
0.714 0.998 0.750
0.287 0.287 0.747
0.713 0.713 0.253
0.000 0.000 0.500
0.000 0.000 0.000
```